Density functional theory data (PBE) for a geometry-optimized Pm2Y3 structure.

The density of states at the Fermi level comes out at 17.7 states/eV per cell. Its formation energy is 0.01 eV/atom.

Lattice parameters (Å, degrees): 6.825 6.825 9.330 107.97 107.97 55.44
Positions (direct):
Pm: 0.069 0.733 0.550
Pm: 0.267 0.931 0.950
Pm: 0.733 0.069 0.050
Pm: 0.931 0.267 0.450
Y: 0.134 0.464 0.850
Y: 0.334 0.666 0.250
Y: 0.464 0.134 0.350
Y: 0.536 0.866 0.650
Y: 0.666 0.334 0.750
Y: 0.866 0.536 0.150

Density functional theory data (PBE) for a geometry-optimized GaBr structure.

For the uncorrected formation energy, the calculation gives -0.448 eV per atom. The density of states at the Fermi level comes out at 0.0 states/eV per cell.

Lattice parameters (Å, degrees): 4.970 4.970 4.970 60.00 60.00 60.00
Positions (direct):
Ga: 0.000 0.000 0.000
Br: 0.750 0.750 0.750

Density functional theory data (PBE) for a geometry-optimized DyHo2In structure.

The density of states at the Fermi level comes out at 5.8 states/eV per cell. Its formation energy is -0.27 eV/atom. The calculation puts the energy relative to the lowest polymorph listed for this composition at 0 meV/atom.

Lattice parameters (Å, degrees): 4.829 4.829 4.829 90.00 90.00 90.00
Positions (direct):
Dy: 0.000 0.000 0.000
Ho: 0.000 0.500 0.500
Ho: 0.500 0.000 0.500
In: 0.500 0.500 0.000

Density functional theory data (PBE) for a geometry-optimized InTc2W structure.

The density of states at the Fermi level comes out at 4.7 states/eV per cell. Its formation energy is 0.52 eV/atom.

Lattice parameters (Å, degrees): 3.162 4.368 4.746 90.00 90.00 90.00
Positions (direct):
In: 0.000 0.000 0.000
Tc: 0.000 0.500 0.500
Tc: 0.500 0.500 0.000
W: 0.500 0.000 0.500

Density functional theory data (PBE) for a geometry-optimized ScPt2Rh structure.

The density of states at the Fermi level comes out at 3.0 states/eV per cell. Its formation energy is -0.73 eV/atom.

Lattice parameters (Å, degrees): 3.046 4.475 4.730 90.00 90.00 90.00
Positions (direct):
Sc: 0.000 0.000 0.000
Pt: 0.500 0.000 0.488
Pt: 0.500 0.500 0.857
Rh: 0.000 0.500 0.372

Density functional theory data (PBE) for a geometry-optimized Th6AlCo2 structure.

The density of states at the Fermi level comes out at 22.7 states/eV per cell. Its formation energy is -0.15 eV/atom.

Lattice parameters (Å, degrees): 8.485 8.485 8.485 114.57 111.53 102.55
Positions (direct):
Th: 0.047 0.242 0.805
Th: 0.183 0.297 0.479
Th: 0.183 0.703 0.886
Th: 0.332 0.024 0.693
Th: 0.332 0.639 0.307
Th: 0.437 0.242 0.195
Th: 0.563 0.758 0.805
Th: 0.668 0.361 0.693
Th: 0.668 0.976 0.307
Th: 0.817 0.297 0.114
Th: 0.817 0.703 0.521
Th: 0.953 0.758 0.195
Al: 0.000 0.000 0.000
Al: 0.500 0.500 0.000
Co: 0.129 0.629 0.500
Co: 0.351 0.000 0.351
Co: 0.649 0.000 0.649
Co: 0.871 0.371 0.500

no.,ρ (g cm⁻³),electronic total energy (eV for the cell shown)
1,5.51,-57.69
2,2.86,-5.59
3,8.95,-17.56
4,12.53,-34.36
5,13.86,-28.68
6,10.98,-127.68